Compound: Pm5SmTm4
Source: the Alexandria database
Functional: GGA-PBE
Structure: optimized geometry

Calculated values
Crystal system   monoclinic
E_form   0.1527 eV/atom

The structure in POSCAR format:
```
Pm5SmTm4
1.0
9.056 -1.785 0.000
9.056 1.785 0.000
-1.168 0.000 10.397
Pm Sm Tm
5 1 4
Cartesian
0.000 0.000 0.000 Pm
4.580 0.000 9.398 Pm
6.163 0.000 2.805 Pm
10.781 0.000 7.592 Pm
12.364 0.000 0.999 Pm
-0.584 0.000 5.199 Sm
2.831 0.000 4.290 Tm
7.358 0.000 7.673 Tm
9.586 0.000 2.724 Tm
14.112 0.000 6.107 Tm
```

Compound: Pm3SmTm12
Source: the Alexandria database
Functional: GGA-PBE
Structure: optimized geometry

Calculated values
Crystal system   tetragonal
E_form   0.0262 eV/atom

The structure in POSCAR format:
```
Pm3SmTm12
1.0
4.986 0.000 0.000
0.000 4.986 0.000
0.000 0.000 19.964
Pm Sm Tm
3 1 12
Cartesian
0.000 0.000 0.000 Pm
0.000 0.000 4.991 Pm
0.000 0.000 14.972 Pm
0.000 0.000 9.982 Sm
0.000 2.493 2.496 Tm
0.000 2.493 7.490 Tm
0.000 2.493 12.473 Tm
0.000 2.493 17.468 Tm
2.493 0.000 2.496 Tm
2.493 0.000 7.490 Tm
2.493 0.000 12.473 Tm
2.493 0.000 17.468 Tm
2.493 2.493 0.000 Tm
2.493 2.493 4.993 Tm
2.493 2.493 9.982 Tm
2.493 2.493 14.971 Tm
```

Compound: Pm2Sm5Tm3
Source: the Alexandria database
Functional: GGA-PBE
Structure: optimized geometry

Calculated values
Crystal system   orthorhombic
E_form   0.3854 eV/atom

The structure in POSCAR format:
```
Pm2Sm5Tm3
1.0
-4.698 10.909 3.413
4.698 -10.909 3.413
4.698 10.909 -3.413
Pm Sm Tm
4 10 6
Cartesian
0.934 2.674 0.000 Pm
5.632 8.235 0.000 Pm
-0.934 2.674 3.413 Pm
3.764 8.235 3.413 Pm
4.698 5.487 -1.707 Sm
3.811 2.747 0.000 Sm
4.698 0.000 1.707 Sm
3.811 -2.747 3.413 Sm
0.000 5.422 1.707 Sm
4.698 5.487 1.707 Sm
0.887 13.656 0.000 Sm
0.000 10.909 1.707 Sm
0.887 8.162 3.413 Sm
0.000 5.422 5.120 Sm
7.068 2.629 0.000 Tm
0.000 0.000 1.707 Tm
2.371 8.280 0.000 Tm
2.327 2.629 3.413 Tm
0.000 0.000 5.120 Tm
-2.371 8.280 3.413 Tm
```

Compound: Pm5SmTm6
Source: the Alexandria database
Functional: GGA-PBE
Structure: optimized geometry

Calculated values
Crystal system   orthorhombic
E_form   0.0191 eV/atom

The structure in POSCAR format:
```
Pm5SmTm6
1.0
-2.537 4.981 7.604
2.537 -4.981 7.604
2.537 4.981 -7.604
Pm Sm Tm
5 1 6
Cartesian
0.000 0.000 0.000 Pm
2.537 0.000 2.534 Pm
0.000 0.000 5.073 Pm
0.000 0.000 10.135 Pm
0.000 4.981 5.070 Pm
0.000 4.981 0.000 Sm
2.537 -2.489 5.070 Tm
2.537 2.493 0.000 Tm
0.000 2.492 2.534 Tm
2.537 2.489 5.070 Tm
0.000 2.488 7.604 Tm
0.000 7.470 2.534 Tm
```

Compound: Pm5SmTm4
Source: the Alexandria database
Functional: GGA-PBE
Structure: optimized geometry

Calculated values
Crystal system   monoclinic
E_form   0.0458 eV/atom

The structure in POSCAR format:
```
Pm5SmTm4
1.0
8.408 -2.743 0.000
8.408 2.743 0.000
-0.007 0.000 7.067
Pm Sm Tm
5 1 4
Cartesian
0.000 0.000 0.000 Pm
3.226 0.000 1.785 Pm
6.586 0.000 5.270 Pm
9.945 0.000 5.267 Pm
13.169 0.000 7.055 Pm
6.585 0.000 1.781 Sm
0.019 0.000 3.512 Tm
3.234 0.000 5.278 Tm
9.934 0.000 1.774 Tm
13.151 0.000 3.537 Tm
```

Compound: PmSm2Tm8
Source: the Alexandria database
Functional: GGA-PBE
Structure: optimized geometry

Calculated values
Crystal system   orthorhombic
E_form   0.1153 eV/atom

The structure in POSCAR format:
```
PmSm2Tm8
1.0
-2.720 4.004 7.996
2.720 -4.004 7.996
2.720 4.004 -7.996
Pm Sm Tm
1 2 8
Cartesian
0.000 0.000 0.000 Pm
0.000 0.000 4.797 Sm
0.000 0.000 11.195 Sm
2.720 -1.668 5.763 Tm
2.720 0.000 2.581 Tm
2.720 2.347 0.000 Tm
0.000 2.336 2.233 Tm
2.720 1.668 5.763 Tm
0.000 1.657 7.996 Tm
0.000 4.004 5.415 Tm
0.000 5.672 2.233 Tm
```

Compound: Pm2Sm5Tm6
Source: the Alexandria database
Functional: GGA-PBE
Structure: optimized geometry

Calculated values
Crystal system   orthorhombic
E_form   0.0982 eV/atom

The structure in POSCAR format:
```
Pm2Sm5Tm6
1.0
11.648 0.000 0.000
0.000 20.366 0.000
0.000 0.000 3.573
Pm Sm Tm
4 10 12
Cartesian
1.995 4.368 0.000 Pm
3.829 14.551 0.000 Pm
7.819 5.815 0.000 Pm
9.653 15.998 0.000 Pm
0.000 10.183 1.786 Sm
1.009 15.811 1.786 Sm
2.334 1.022 1.786 Sm
3.490 11.205 1.786 Sm
4.815 5.628 1.786 Sm
5.824 0.000 1.786 Sm
6.834 14.738 1.786 Sm
8.158 9.161 1.786 Sm
9.314 19.344 1.786 Sm
10.639 4.555 1.786 Sm
0.702 18.761 0.000 Tm
0.903 12.894 0.000 Tm
2.089 7.510 1.786 Tm
3.736 17.693 1.786 Tm
4.921 2.711 0.000 Tm
5.122 8.578 0.000 Tm
6.526 11.787 0.000 Tm
6.727 17.655 0.000 Tm
7.913 2.673 1.786 Tm
9.560 12.856 1.786 Tm
10.746 7.472 0.000 Tm
10.946 1.605 0.000 Tm
```

Compound: Pm6Sm2Tm
Source: the Alexandria database
Functional: GGA-PBE
Structure: optimized geometry

Calculated values
Crystal system   monoclinic
E_form   0.0827 eV/atom

The structure in POSCAR format:
```
Pm6Sm2Tm
1.0
8.482 -5.902 0.000
8.482 5.902 0.000
-0.751 0.000 6.039
Pm Sm Tm
12 4 2
Cartesian
6.707 4.599 5.775 Pm
4.494 1.293 0.736 Pm
9.130 4.599 3.284 Pm
6.197 1.284 4.309 Pm
4.119 -1.293 3.755 Pm
9.640 1.284 4.749 Pm
6.573 -1.284 1.290 Pm
12.094 1.293 2.284 Pm
10.015 -1.284 1.730 Pm
7.083 -4.599 2.755 Pm
11.719 -1.293 5.304 Pm
9.505 -4.599 0.264 Pm
2.360 1.812 3.522 Sm
2.735 -1.812 0.502 Sm
13.478 1.812 5.537 Sm
13.853 -1.812 2.517 Sm
8.294 1.744 1.510 Tm
7.919 -1.744 4.529 Tm
```

Compound: PmSm5Tm4
Source: the Alexandria database
Functional: GGA-PBE
Structure: optimized geometry

Calculated values
Crystal system   triclinic
E_form   0.0701 eV/atom

The structure in POSCAR format:
```
PmSm5Tm4
1.0
3.574 0.000 0.000
-1.527 6.520 0.000
-0.884 -2.586 14.000
Pm Sm Tm
1 5 4
Cartesian
0.000 0.000 0.000 Pm
-1.151 4.223 8.207 Sm
0.587 1.165 8.659 Sm
1.024 3.260 0.000 Sm
0.576 2.769 5.341 Sm
2.314 -0.289 5.793 Sm
-1.017 4.731 2.963 Tm
-1.065 2.688 11.279 Tm
2.228 1.245 2.722 Tm
2.180 -0.798 11.037 Tm
```

Compound: PmSmTm4
Source: the Alexandria database
Functional: GGA-PBE
Structure: optimized geometry

Calculated values
Crystal system   cubic
E_form   0.2887 eV/atom

The structure in POSCAR format:
```
PmSmTm4
1.0
0.000 4.672 4.672
4.672 0.000 4.672
4.672 4.672 0.000
Pm Sm Tm
1 1 4
Cartesian
0.000 0.000 0.000 Pm
2.336 2.336 2.336 Sm
5.839 3.504 3.504 Tm
3.504 5.839 3.504 Tm
3.504 3.504 5.839 Tm
5.839 5.839 5.839 Tm
```

Compound: Pm5Sm2Tm12
Source: the Alexandria database
Functional: GGA-PBE
Structure: optimized geometry

Calculated values
Crystal system   triclinic
E_form   0.0240 eV/atom

The structure in POSCAR format:
```
Pm5Sm2Tm12
1.0
7.920 0.000 0.000
-3.145 8.077 0.000
-0.805 -0.329 9.347
Pm Sm Tm
5 2 12
Cartesian
0.000 0.000 0.000 Pm
0.796 0.302 3.437 Pm
-0.018 3.084 8.862 Pm
3.988 4.664 0.486 Pm
3.175 7.445 5.911 Pm
1.589 3.723 2.963 Sm
2.382 4.025 6.384 Sm
-2.351 5.272 7.358 Tm
-0.813 2.787 5.417 Tm
-0.761 5.907 1.483 Tm
1.602 0.605 6.875 Tm
-0.003 6.203 4.927 Tm
3.193 1.236 0.978 Tm
0.777 6.512 8.370 Tm
3.974 1.544 4.420 Tm
2.369 7.142 2.473 Tm
4.732 1.840 7.864 Tm
4.783 4.961 3.930 Tm
6.321 2.475 1.989 Tm
```

Compound: Pm2SmTm
Source: the Alexandria database
Functional: GGA-PBE
Structure: optimized geometry

Calculated values
Crystal system   cubic
E_form   0.1309 eV/atom

The structure in POSCAR format:
```
Pm2SmTm
1.0
0.000 4.056 4.056
4.056 0.000 4.056
4.056 4.056 0.000
Pm Sm Tm
2 1 1
Cartesian
2.028 2.028 2.028 Pm
6.085 6.085 6.085 Pm
0.000 0.000 0.000 Sm
4.056 4.056 4.056 Tm
```

Compound: Pm9SmTm2
Source: the Alexandria database
Functional: GGA-PBE
Structure: optimized geometry

Calculated values
Crystal system   tetragonal
E_form   0.0172 eV/atom

The structure in POSCAR format:
```
Pm9SmTm2
1.0
5.120 0.000 0.000
0.000 5.120 0.000
0.000 0.000 15.350
Pm Sm Tm
9 1 2
Cartesian
0.000 0.000 0.000 Pm
0.000 0.000 5.142 Pm
0.000 0.000 10.208 Pm
0.000 2.560 2.589 Pm
0.000 2.560 7.675 Pm
0.000 2.560 12.761 Pm
2.560 0.000 2.589 Pm
2.560 0.000 7.675 Pm
2.560 0.000 12.761 Pm
2.560 2.560 0.000 Sm
2.560 2.560 5.134 Tm
2.560 2.560 10.216 Tm
```

Compound: Pm12Sm2Tm5
Source: the Alexandria database
Functional: GGA-PBE
Structure: optimized geometry

Calculated values
Crystal system   monoclinic
E_form   0.1262 eV/atom

The structure in POSCAR format:
```
Pm12Sm2Tm5
1.0
7.924 -4.653 0.000
7.924 4.653 0.000
-0.184 0.000 8.687
Pm Sm Tm
12 2 5
Cartesian
0.937 0.000 2.951 Pm
5.851 2.841 2.884 Pm
5.346 1.686 6.628 Pm
9.813 2.841 5.803 Pm
6.512 0.000 1.018 Pm
10.318 1.686 2.059 Pm
5.346 -1.686 6.628 Pm
9.152 0.000 7.668 Pm
5.851 -2.841 2.884 Pm
10.318 -1.686 2.059 Pm
9.813 -2.841 5.803 Pm
14.727 0.000 5.735 Pm
7.924 3.037 0.000 Sm
7.924 -3.037 0.000 Sm
3.166 0.000 0.188 Tm
4.196 0.000 3.741 Tm
7.832 0.000 4.343 Tm
11.468 0.000 4.946 Tm
12.498 0.000 8.499 Tm
```

Compound: PmSm3Tm4
Source: the Alexandria database
Functional: GGA-PBE
Structure: optimized geometry

Calculated values
Crystal system   monoclinic
E_form   0.0199 eV/atom

The structure in POSCAR format:
```
PmSm3Tm4
1.0
6.175 0.000 0.000
0.000 3.568 0.000
-2.067 0.000 11.535
Pm Sm Tm
1 3 4
Cartesian
0.000 0.000 0.000 Pm
-1.033 1.784 5.767 Sm
2.054 0.000 5.767 Sm
3.087 1.784 0.000 Sm
-0.006 0.000 8.647 Tm
1.027 1.784 2.886 Tm
4.114 0.000 2.888 Tm
3.081 1.784 8.649 Tm
```

Compound: PmSm3Tm5
Source: the Alexandria database
Functional: GGA-PBE
Structure: optimized geometry

Calculated values
Crystal system   monoclinic
E_form   0.5217 eV/atom

The structure in POSCAR format:
```
PmSm3Tm5
1.0
7.641 -5.603 0.000
7.641 5.603 0.000
-6.520 0.000 7.568
Pm Sm Tm
2 6 10
Cartesian
3.179 0.000 0.702 Pm
5.583 0.000 6.865 Pm
0.000 0.000 0.000 Sm
-4.072 0.000 5.179 Sm
2.364 0.000 5.967 Sm
4.381 0.000 3.784 Sm
6.398 0.000 1.601 Sm
12.834 0.000 2.389 Sm
2.385 2.817 3.353 Tm
0.742 0.000 3.104 Tm
7.641 2.678 0.000 Tm
-0.808 0.000 5.999 Tm
6.377 2.817 4.215 Tm
2.385 -2.817 3.353 Tm
9.570 0.000 1.569 Tm
7.641 -2.678 0.000 Tm
8.020 0.000 4.464 Tm
6.377 -2.817 4.215 Tm
```

Compound: Pm2Sm4Tm5
Source: the Alexandria database
Functional: GGA-PBE
Structure: optimized geometry

Calculated values
Crystal system   triclinic
E_form   0.0195 eV/atom

The structure in POSCAR format:
```
Pm2Sm4Tm5
1.0
3.577 0.000 0.000
0.004 8.732 0.000
1.770 2.885 11.297
Pm Sm Tm
2 4 5
Cartesian
0.894 4.334 4.603 Pm
4.457 7.283 6.694 Pm
0.901 7.269 0.490 Sm
2.674 4.320 7.720 Sm
2.677 7.297 3.577 Sm
4.450 4.348 10.807 Sm
0.888 1.478 2.575 Tm
2.666 7.266 9.782 Tm
2.674 1.443 5.648 Tm
2.685 4.350 1.515 Tm
4.463 10.139 8.721 Tm
```

Compound: Pm2Sm3Tm3
Source: the Alexandria database
Functional: GGA-PBE
Structure: optimized geometry

Calculated values
Crystal system   trigonal
E_form   0.1298 eV/atom

The structure in POSCAR format:
```
Pm2Sm3Tm3
1.0
4.807 2.775 3.355
-4.807 2.775 3.355
0.000 -5.551 3.355
Pm Sm Tm
2 3 3
Cartesian
0.000 0.000 2.004 Pm
0.000 0.000 8.061 Pm
-2.780 0.000 5.033 Sm
1.390 -2.408 5.033 Sm
1.390 2.408 5.033 Sm
-1.488 -2.974 3.355 Tm
-1.832 2.775 3.355 Tm
3.319 0.199 3.355 Tm
```

Compound: Pm3Sm8Tm2
Source: the Alexandria database
Functional: GGA-PBE
Structure: optimized geometry

Calculated values
Crystal system   monoclinic
E_form   0.2211 eV/atom

The structure in POSCAR format:
```
Pm3Sm8Tm2
1.0
10.103 -3.871 0.000
10.103 3.871 0.000
-0.004 0.000 5.755
Pm Sm Tm
3 8 2
Cartesian
0.000 0.000 0.000 Pm
10.101 1.631 2.878 Pm
10.101 -1.631 2.878 Pm
2.725 0.000 2.874 Sm
7.909 1.613 5.754 Sm
6.592 0.000 2.872 Sm
12.294 1.613 0.001 Sm
7.909 -1.613 5.754 Sm
13.611 0.000 2.883 Sm
12.294 -1.613 0.001 Sm
17.478 0.000 2.881 Sm
4.870 0.000 5.748 Tm
15.333 0.000 0.007 Tm
```